Entry 1:
NbPb2BrO4 | GGA-PBE | relaxed

## Properties
VASP energy: -6.450 eV per atom
Crystal system: monoclinic
SG: C2/m, No. 12
Raw formation energy: -1576 meV per atom

a = 5.511 Å, b = 5.511 Å, c = 10.966 Å
α = 116.23°, β = 116.23°, γ = 34.96°
Fractional coordinates of all 8 atoms:
Nb 0.000 0.000 0.000
Pb 0.391 0.391 0.229
Pb 0.609 0.609 0.771
Br 0.000 0.000 0.500
O 0.022 0.022 0.189
O 0.363 0.363 0.957
O 0.637 0.637 0.043
O 0.978 0.978 0.811

Entry 2:
BaTa3Cd | GGA-PBE | relaxed

## Properties
VASP energy: -4.853 eV per atom
Crystal system: cubic
SG: Pm-3m, No. 221
Fermi-level density of states: 4.36 states/eV/cell
Offset from the most stable computed form: 3.87 eV/f.u.

a = 5.092 Å, b = 5.092 Å, c = 5.092 Å
α = 90.00°, β = 90.00°, γ = 90.00°
Fractional coordinates of all 5 atoms:
Ba 0.000 0.000 0.000
Ta 0.000 0.000 0.500
Ta 0.000 0.500 0.000
Ta 0.500 0.000 0.000
Cd 0.500 0.500 0.500

Entry 3:
LaTa2GeS | GGA-PBE | relaxed

## Properties
VASP energy: -6.747 eV per atom
Crystal system: tetragonal
SG: P4/mmm, No. 123
Fermi-level density of states: 5.65 states/eV/cell
Raw formation energy: 729 meV per atom

a = 4.858 Å, b = 4.858 Å, c = 5.261 Å
α = 90.00°, β = 90.00°, γ = 90.00°
Fractional coordinates of all 5 atoms:
La 0.000 0.000 0.000
Ta 0.000 0.500 0.500
Ta 0.500 0.000 0.500
Ge 0.500 0.500 0.500
S 0.500 0.500 0.000

Entry 4:
YRu3 | GGA-PBE | relaxed

## Properties
VASP energy: -8.315 eV per atom
Crystal system: cubic
SG: Fm-3m, No. 225
Fermi-level density of states: 5.22 states/eV/cell

a = 4.575 Å, b = 4.575 Å, c = 4.575 Å
α = 60.00°, β = 60.00°, γ = 60.00°
Fractional coordinates of all 4 atoms:
Y 0.000 0.000 0.000
Ru 0.250 0.250 0.250
Ru 0.500 0.500 0.500
Ru 0.750 0.750 0.750